# 1
Below is a geometry-optimized U2Tl2PdSe6 structure, with properties calculated at the PBE-GGA level.

Structure (POSCAR):
```
U2Tl2PdSe6
1.0
-5.9205 -3.2739 1.6110
4.8206 -3.0209 -4.0002
3.8135 -1.0183 7.2540
U Tl Pd Se
2 2 1 6
Cartesian
3.1362 -3.6146 1.5028
-0.4226 -3.6984 3.3620
-4.1780 -3.2328 0.7007
3.0781 -3.0620 -3.0899
1.9067 -0.5091 3.6270
1.8157 -5.3612 3.2340
4.3014 -2.1913 3.5741
0.8979 -1.9519 1.6307
0.5593 -2.2794 5.5289
-1.5878 -5.1218 1.2907
2.1542 -5.0336 -0.6642
```

Computed properties:
- SG: C2/m
- E: -5.6215 eV/atom
- Density: 7.396 g/cm³

***

# 2
Below is a geometry-optimized CsNa4Au structure, with properties calculated at the PBE-GGA level.

Structure (POSCAR):
```
CsNa4Au
1.0
6.7772 0.0000 0.0000
3.3886 5.8692 0.0000
3.3886 1.9564 5.5336
Cs Na Au
1 4 1
Cartesian
3.3886 1.9564 1.3834
6.7772 3.9128 0.6552
6.7772 1.9220 3.4706
8.5013 4.9082 3.4706
5.0531 4.9082 3.4706
0.0000 0.0000 0.0000
```

Computed properties:
- Formation energy: 0.037 eV per atom
- SG: F-43m
- Density: 3.182 g/cm³

***

# 3
Below is a geometry-optimized Mg2Tl2Cu structure, with properties calculated at the PBE-GGA level.

Structure (POSCAR):
```
Mg2Tl2Cu
1.0
7.2503 0.0000 0.0000
0.0000 7.2503 0.0000
0.0000 0.0000 4.4052
Tl Mg Cu
4 4 2
Cartesian
2.5057 6.1309 0.0000
6.1309 4.7446 0.0000
4.7446 1.1194 0.0000
1.1194 2.5057 0.0000
1.1337 4.7589 2.2026
4.7589 6.1166 2.2026
6.1166 2.4915 2.2026
2.4915 1.1337 2.2026
0.0000 0.0000 0.0000
3.6252 3.6252 0.0000
```

Computed properties:
- Formation energy: 0.149 eV per atom
- SG: P4/mbm
- Relative energy among the computed polymorphs: 11 meV/atom
- Density: 7.471 g/cm³

***

# 4
Below is a geometry-optimized Pr6DyY2Ho3 structure, with properties calculated at the PBE-GGA level.

Structure (POSCAR):
```
Pr6DyY2Ho3
1.0
6.3100 -0.0006 0.0104
-3.1540 5.4652 0.0104
-1.0684 -1.8500 11.6923
Pr Dy Y Ho
6 1 2 3
Cartesian
3.1404 1.8040 8.7705
2.1024 3.6403 2.9511
-1.0529 1.8106 2.9426
-0.0069 3.6217 8.7705
-0.0149 -0.0257 8.7620
2.0945 -0.0071 2.9426
0.0000 0.0000 0.0000
0.0006 3.6433 0.0104
3.1554 1.8213 0.0104
-2.1112 3.6295 5.8566
4.1988 -0.0148 5.8566
1.0438 1.8073 5.8566
```

Computed properties:
- Formation energy: 0.010 eV per atom
- SG: C2/m
- Density: 6.917 g/cm³

***

# 5
Below is a geometry-optimized Ce4Ag structure, with properties calculated at the PBE-GGA level.

Structure (POSCAR):
```
Ce4Ag
1.0
5.7059 0.0000 0.0000
0.0000 5.7059 0.0000
0.0000 0.0000 5.7059
Ce Ag
4 1
Cartesian
0.0000 0.0000 0.0000
2.8529 0.0000 2.8529
0.0000 2.8529 2.8529
2.8529 2.8529 0.0000
2.8529 2.8529 2.8529
```

Computed properties:
- Formation energy: 0.582 eV per atom
- SG: Pm-3m
- Relative energy among the computed polymorphs: 583 meV/atom
- Density: 5.974 g/cm³

***

# 6
Below is a geometry-optimized ScMnPt structure, with properties calculated at the PBE-GGA level.

Structure (POSCAR):
```
ScMnPt
1.0
-0.1165 4.1039 -1.5031
-1.5205 0.8142 -4.0174
-3.8371 2.0313 -0.5150
Mn Pt Sc
1 1 1
Cartesian
0.0000 0.0000 0.0000
-2.7371 3.4747 -3.0178
-4.1056 5.2121 -4.5267
```

Computed properties:
- Formation energy: 0.001 eV per atom
- SG: F-43m
- Density: 8.289 g/cm³

***

# 7
Below is a geometry-optimized Ba3Sb structure, with properties calculated at the PBE-GGA level.

Structure (POSCAR):
```
Ba3Sb
1.0
-2.8085 -2.0143 -3.1408
3.5245 -0.1253 -3.0713
5.7546 -7.6895 -0.2141
Ba Sb
3 1
Cartesian
3.6271 -0.4794 -2.9359
5.5551 -6.8683 -4.0345
4.5370 -3.5534 -1.7780
0.9155 -2.9609 -2.3918
```

Computed properties:
- SG: P2/m
- Relative energy among the computed polymorphs: 115 meV/atom
- Density: 4.838 g/cm³

***

# 8
Below is a geometry-optimized Tl2AgHg structure, with properties calculated at the PBE-GGA level.

Structure (POSCAR):
```
Tl2AgHg
1.0
-5.7191 4.4773 0.2016
-6.3550 -0.0745 -3.5219
5.0218 -2.9731 4.3286
Tl Hg Ag
2 1 1
Cartesian
-11.3623 4.1433 -3.1246
-6.7487 2.4609 -1.8559
-3.6851 -0.4231 -0.4267
-3.3671 1.8528 1.4350
```

Computed properties:
- Formation energy: 0.083 eV per atom
- SG: Immm
- Relative energy among the computed polymorphs: 15 meV/atom
- Density: 10.868 g/cm³

***

# 9
Below is a geometry-optimized TlCr2Cl structure, with properties calculated at the PBE-GGA level.

Structure (POSCAR):
```
TlCr2Cl
1.0
5.1968 0.0018 0.0000
1.2078 5.0545 0.0000
-3.2023 -2.5282 3.2188
Cr Tl Cl
2 1 1
Cartesian
0.0000 0.0000 0.0000
3.2023 2.5282 0.0000
0.6039 2.5273 1.6094
2.5984 0.0009 1.6094
```

Computed properties:
- SG: I4/mmm
- Relative energy among the computed polymorphs: 509 meV/atom
- Density: 6.753 g/cm³

***

# 10
Below is a geometry-optimized ZrSnHg2N structure, with properties calculated at the PBE-GGA level.

Structure (POSCAR):
```
ZrSnHg2N
1.0
-4.7346 -1.2006 2.7466
1.5013 -3.4494 1.0802
2.0893 2.3602 4.6332
N Hg Zr Sn
1 2 1 1
Cartesian
0.7507 -1.7247 0.5401
1.0446 1.1801 2.3166
-2.3673 -0.6003 1.3733
-0.5720 -1.1449 4.2300
0.0000 0.0000 0.0000
```

Computed properties:
- SG: P4/mmm
- E: -3.3195 eV/atom
- Density: 8.446 g/cm³

***

# 11
Below is a geometry-optimized Sc2AlB structure, with properties calculated at the PBE-GGA level.

Structure (POSCAR):
```
Sc2AlB
1.0
-1.9861 -4.6563 7.1642
1.2390 -5.7403 6.5165
0.7201 -2.8051 8.2803
Sc B Al
2 1 1
Cartesian
-0.0238 -11.6412 19.3652
-0.0032 -1.5604 2.5958
-0.0135 -6.6008 10.9805
0.0000 0.0000 0.0000
```

Computed properties:
- Formation energy: 0.154 eV per atom
- SG: R-3m
- Relative energy among the computed polymorphs: 130 meV/atom
- Density: 2.390 g/cm³

***

# 12
Below is a geometry-optimized La2ThHg8 structure, with properties calculated at the PBE-GGA level.

Structure (POSCAR):
```
La2ThHg8
1.0
5.0568 0.0000 -1.5355
-0.9220 6.8266 -3.0364
-0.0840 -0.2408 8.8176
La Th Hg
2 1 8
Cartesian
0.3061 4.6405 1.0081
3.7446 1.9453 3.2376
2.5284 0.0000 -0.7677
2.4475 5.7593 -1.0341
1.2170 3.6849 4.0077
0.6269 1.0027 2.0645
-0.2614 1.9359 -0.8609
3.4238 5.5830 2.1812
2.8338 2.9009 0.2380
1.6032 0.8264 5.2798
4.3121 4.6498 5.1066
```

Computed properties:
- Formation energy: -0.314 eV per atom
- SG: Immm
- Density: 11.725 g/cm³